## w
{
  "formula": "YEr8Tm2",
  "functional": "PBE",
  "state": "relaxed",
  "cell": [[-2.713, 4.045, 7.816], [2.713, -4.045, 7.816], [2.713, 4.045, -7.816]],
  "species": ["Y", "Er", "Er", "Er", "Er", "Er", "Er", "Er", "Er", "Tm", "Tm"],
  "frac_coords": [[0.000, 0.000, 0.000], [0.155, 0.861, 0.294], [0.161, 0.661, 0.500], [0.296, 0.500, 0.796], [0.433, 0.139, 0.294], [0.567, 0.861, 0.706], [0.704, 0.500, 0.204], [0.839, 0.339, 0.500], [0.845, 0.139, 0.706], [0.299, 0.299, 0.000], [0.701, 0.701, 0.000]],
  "density_g_cm3": 8.5,
  "magmom_total_mub_per_cell": 0.00,
  "dos_ef_per_ev_cell": 17.0
}

=====

## x
{
  "formula": "YEr8Tm2",
  "functional": "PBE",
  "state": "relaxed",
  "cell": [[4.527, -8.304, 0.000], [4.527, 8.304, 0.000], [-3.604, 0.000, 4.613]],
  "species": ["Y", "Er", "Er", "Er", "Er", "Er", "Er", "Er", "Er", "Tm", "Tm"],
  "frac_coords": [[0.000, 0.000, 0.000], [0.097, 0.352, 0.709], [0.203, 0.797, 0.000], [0.352, 0.097, 0.709], [0.462, 0.462, 0.224], [0.538, 0.538, 0.776], [0.648, 0.903, 0.291], [0.797, 0.203, 0.000], [0.903, 0.648, 0.291], [0.311, 0.689, 0.500], [0.689, 0.311, 0.500]],
  "density_g_cm3": 8.4,
  "magmom_total_mub_per_cell": 0.00,
  "dos_ef_per_ev_cell": 14.1
}

=====

Most stable structure, least stable structure: w, x.

=====

## w
{
  "formula": "Y3Er2Tm5",
  "functional": "PBE",
  "state": "relaxed",
  "cell": [[-6.337, 8.398, 3.105], [6.337, -8.398, 3.105], [6.337, 8.398, -3.105]],
  "species": ["Y", "Y", "Y", "Y", "Y", "Y", "Er", "Er", "Er", "Er", "Tm", "Tm", "Tm", "Tm", "Tm", "Tm", "Tm", "Tm", "Tm", "Tm"],
  "frac_coords": [[0.247, 0.156, 0.404], [0.250, 0.250, 0.000], [0.253, 0.656, 0.909], [0.747, 0.344, 0.091], [0.750, 0.750, 0.000], [0.753, 0.844, 0.596], [0.157, 0.897, 0.053], [0.343, 0.397, 0.740], [0.657, 0.603, 0.260], [0.843, 0.103, 0.947], [0.156, 0.401, 0.556], [0.250, 0.502, 0.252], [0.250, 0.750, 0.500], [0.250, 0.998, 0.748], [0.344, 0.901, 0.245], [0.656, 0.099, 0.755], [0.750, 0.002, 0.252], [0.750, 0.250, 0.500], [0.750, 0.498, 0.748], [0.844, 0.599, 0.444]],
  "density_g_cm3": 7.3,
  "magmom_total_mub_per_cell": 0.00,
  "dos_ef_per_ev_cell": 30.2
}

=====

## x
{
  "formula": "Y3Er2Tm5",
  "functional": "PBE",
  "state": "relaxed",
  "cell": [[5.275, -7.800, 0.000], [5.275, 7.800, 0.000], [-5.275, 0.000, 7.788]],
  "species": ["Y", "Y", "Y", "Y", "Y", "Y", "Er", "Er", "Er", "Er", "Tm", "Tm", "Tm", "Tm", "Tm", "Tm", "Tm", "Tm", "Tm", "Tm"],
  "frac_coords": [[0.029, 0.269, 0.045], [0.233, 0.767, 0.750], [0.269, 0.029, 0.545], [0.731, 0.971, 0.455], [0.767, 0.233, 0.250], [0.971, 0.731, 0.955], [0.234, 0.470, 0.451], [0.470, 0.234, 0.951], [0.530, 0.766, 0.049], [0.766, 0.530, 0.549], [0.030, 0.970, 0.750], [0.140, 0.359, 0.748], [0.270, 0.730, 0.250], [0.359, 0.140, 0.248], [0.472, 0.528, 0.250], [0.528, 0.472, 0.750], [0.641, 0.860, 0.752], [0.730, 0.270, 0.750], [0.860, 0.641, 0.252], [0.970, 0.030, 0.250]],
  "density_g_cm3": 7.5,
  "magmom_total_mub_per_cell": 0.00,
  "dos_ef_per_ev_cell": 32.1
}

=====

Most stable structure, least stable structure: x, w.

=====

## w
{
  "formula": "Y3Er4Tm2",
  "functional": "PBE",
  "state": "relaxed",
  "cell": [[6.398, 0.000, 0.000], [1.893, 9.490, 0.000], [1.884, 0.757, 9.469]],
  "species": ["Y", "Y", "Y", "Y", "Y", "Y", "Er", "Er", "Er", "Er", "Er", "Er", "Er", "Er", "Tm", "Tm", "Tm", "Tm"],
  "frac_coords": [[0.047, 0.047, 0.162], [0.250, 0.470, 0.530], [0.453, 0.838, 0.953], [0.547, 0.162, 0.047], [0.750, 0.530, 0.470], [0.953, 0.953, 0.838], [0.000, 0.292, 0.876], [0.000, 0.708, 0.124], [0.113, 0.139, 0.508], [0.386, 0.492, 0.862], [0.499, 0.876, 0.293], [0.501, 0.124, 0.707], [0.614, 0.508, 0.138], [0.887, 0.861, 0.492], [0.125, 0.369, 0.207], [0.376, 0.793, 0.631], [0.624, 0.207, 0.369], [0.875, 0.631, 0.793]],
  "density_g_cm3": 7.4,
  "magmom_total_mub_per_cell": 0.00,
  "dos_ef_per_ev_cell": 31.3
}

=====

## x
{
  "formula": "Y3Er4Tm2",
  "functional": "PBE",
  "state": "relaxed",
  "cell": [[8.273, -5.735, 0.000], [8.273, 5.735, 0.000], [-0.724, 0.000, 5.891]],
  "species": ["Y", "Y", "Y", "Y", "Y", "Y", "Er", "Er", "Er", "Er", "Er", "Er", "Er", "Er", "Tm", "Tm", "Tm", "Tm"],
  "frac_coords": [[0.152, 0.848, 0.750], [0.180, 0.485, 0.917], [0.485, 0.180, 0.417], [0.515, 0.820, 0.583], [0.820, 0.515, 0.083], [0.848, 0.152, 0.250], [0.121, 0.338, 0.382], [0.328, 0.545, 0.451], [0.338, 0.121, 0.882], [0.455, 0.672, 0.049], [0.545, 0.328, 0.951], [0.662, 0.879, 0.118], [0.672, 0.455, 0.549], [0.879, 0.662, 0.618], [0.005, 0.788, 0.213], [0.212, 0.995, 0.287], [0.788, 0.005, 0.713], [0.995, 0.212, 0.787]],
  "density_g_cm3": 7.6,
  "magmom_total_mub_per_cell": 0.00,
  "dos_ef_per_ev_cell": 28.3
}

=====

Most stable structure, least stable structure: x, w.

=====

## w
{
  "formula": "Y2Er3Tm2",
  "functional": "PBE",
  "state": "relaxed",
  "cell": [[5.562, -2.488, 0.000], [5.562, 2.488, 0.000], [-1.120, 0.000, 7.795]],
  "species": ["Y", "Y", "Er", "Er", "Er", "Tm", "Tm"],
  "frac_coords": [[0.214, 0.214, 0.144], [0.786, 0.786, 0.856], [0.358, 0.358, 0.572], [0.500, 0.500, 0.000], [0.642, 0.642, 0.428], [0.072, 0.072, 0.712], [0.928, 0.928, 0.288]],
  "density_g_cm3": 7.8,
  "magmom_total_mub_per_cell": 0.00,
  "dos_ef_per_ev_cell": 10.0
}

=====

## x
{
  "formula": "Y2Er3Tm2",
  "functional": "PBE",
  "state": "relaxed",
  "cell": [[-4.813, 4.813, 4.813], [4.813, -4.813, 4.813], [4.813, 4.813, -4.813]],
  "species": ["Y", "Y", "Y", "Y", "Er", "Er", "Er", "Er", "Er", "Er", "Tm", "Tm", "Tm", "Tm"],
  "frac_coords": [[0.000, 0.693, 0.500], [0.500, 0.000, 0.693], [0.693, 0.500, 0.000], [0.807, 0.807, 0.807], [0.187, 0.937, 0.250], [0.250, 0.187, 0.937], [0.313, 0.563, 0.750], [0.563, 0.750, 0.313], [0.750, 0.313, 0.563], [0.937, 0.250, 0.187], [0.000, 0.095, 0.500], [0.095, 0.500, 0.000], [0.405, 0.405, 0.405], [0.500, 0.000, 0.095]],
  "density_g_cm3": 7.6,
  "magmom_total_mub_per_cell": 0.00,
  "dos_ef_per_ev_cell": 18.7
}

=====

Most stable structure, least stable structure: w, x.